i) Material: ZrAg2Br
Method: DFT, meta-GGA SCAN
State: single point on PBEsol structure

The structure in POSCAR format:
```
ZrAg2Br
1.0
3.177 0.000 0.000
0.000 4.583 0.000
0.000 0.000 5.264
Zr Ag Br
1 2 1
Cartesian
0.000 0.000 0.000
0.000 2.292 2.632
1.589 0.000 2.632
1.589 2.292 0.000
```

Output
N(E_F) = 0.55 states/eV/atom

ii) Material: ZrAg2Br
Method: DFT, meta-GGA SCAN
State: single point on PBEsol structure

The structure in POSCAR format:
```
ZrAg2Br
1.0
3.902 0.000 0.000
0.000 3.902 0.000
0.000 0.000 5.068
Zr Ag Br
1 2 1
Cartesian
0.000 0.000 0.000
0.000 1.951 2.534
1.951 0.000 2.534
1.951 1.951 0.000
```

Output
N(E_F) = 0.55 states/eV/atom

Which one is the most stable? From the structures above, i).